Entry 1:
Density functional theory data (PBE-GGA) for crystalline LiSiW at its relaxed geometry.

The calculation puts the excess energy over the best structure of this formula in the dataset at 0.0 meV/atom. As for the total magnetization: 0.000 μB per cell. The value obtained for the total energy is -0.48917 Ry per atom.

The structure belongs to space group P-6m2 (No. 187); the cell edges are 4.1163, 4.1163 and 2.6899 Å and the angles 90.00°, 90.00° and 120.00°. Symmetry generates all atoms from Li at (0.0000, 0.0000, 0.0000), Si at (0.6667, 0.3333, 0.0000) and W at (0.3333, 0.6667, 0.5000).


Entry 2:
Density functional theory data (PBE-GGA) for crystalline LiSiW at its relaxed geometry.

The calculation puts the excess energy over the best structure of this formula in the dataset at 115.8 meV/atom. As for the total magnetization: 0.000 μB per cell. The value obtained for the total energy is -0.48066 Ry per atom.

The structure belongs to space group I4mm (No. 107); the cell edges are 2.6678, 2.6678 and 12.8131 Å and the angles 90.00°, 90.00° and 90.00°. Symmetry generates all atoms from Li at (0.0000, 0.0000, 0.0000), Si at (0.0000, 0.0000, 0.3340) and W at (0.0000, 0.0000, 0.6833).


Entry 3:
Density functional theory data (PBE-GGA) for crystalline LiSiW at its relaxed geometry.

The calculation puts the excess energy over the best structure of this formula in the dataset at 84.2 meV/atom. As for the total magnetization: 0.000 μB per cell. The value obtained for the total energy is -0.48299 Ry per atom.

The structure belongs to space group Imm2 (No. 44); the cell edges are 2.7057, 3.6637 and 8.2395 Å and the angles 90.00°, 90.00° and 90.00°. Symmetry generates all atoms from Li at (0.0000, 0.0000, 0.0000), Si at (0.0000, 0.0000, 0.6499) and W at (0.0000, 0.0000, 0.3203).


Entry 4:
Density functional theory data (PBE-GGA) for crystalline Li2SiW at its relaxed geometry.

As for the total magnetization: 0.001 μB per cell. The value obtained for the total energy is -0.39808 Ry per atom.

The structure belongs to space group Cm (No. 8); the cell edges are 9.3394, 2.6525 and 5.0732 Å and the angles 90.00°, 110.34° and 90.00°. Symmetry generates all atoms from Li at (0.0000, 0.0000, 0.0000), Li at (0.2374, 0.0000, 0.8875), Si at (0.0227, 0.5000, 0.4720) and W at (0.2782, 0.5000, 0.4156).


Entry 5:
Density functional theory data (PBE-GGA) for crystalline Li2SiW at its relaxed geometry.

As for the total magnetization: 0.000 μB per cell. The value obtained for the total energy is -0.39532 Ry per atom.

The structure belongs to space group I4/mmm (No. 139); the cell edges are 3.5025, 3.5025 and 9.3819 Å and the angles 90.00°, 90.00° and 90.00°. Symmetry generates all atoms from Li at (0.0000, 0.5000, 0.2500), Si at (0.0000, 0.0000, 0.0000) and W at (0.0000, 0.0000, 0.5000).


Entry 6:
Density functional theory data (PBE-GGA) for crystalline Li2SiW at its relaxed geometry.

As for the total magnetization: 0.000 μB per cell. The value obtained for the total energy is -0.38522 Ry per atom.

The structure belongs to space group Imm2 (No. 44); the cell edges are 2.7479, 4.4796 and 8.5504 Å and the angles 90.00°, 90.00° and 90.00°. Symmetry generates all atoms from Li at (0.0000, 0.0000, 0.0000), Li at (0.0000, 0.5000, 0.2710), Si at (0.0000, 0.5000, 0.7365) and W at (0.0000, 0.0000, 0.4988).


Entry 7:
Density functional theory data (PBE-GGA) for crystalline Li2SiW at its relaxed geometry.

As for the total magnetization: 0.000 μB per cell. The value obtained for the total energy is -0.39736 Ry per atom.

The structure belongs to space group Pmm2 (No. 25); the cell edges are 2.6844, 3.1821 and 6.8535 Å and the angles 90.00°, 90.00° and 90.00°. Symmetry generates all atoms from Li at (0.0000, 0.0000, 0.0000), Li at (0.5000, 0.5000, 0.2551), Si at (0.0000, 0.0000, 0.4790) and W at (0.5000, 0.5000, 0.7080).


Entry 8:
Density functional theory data (PBE-GGA) for crystalline Li4SiW at its relaxed geometry.

As for the total magnetization: 0.000 μB per cell. The value obtained for the total energy is -0.28303 Ry per atom.

The structure belongs to space group F-43m (No. 216); the cell edges are 6.7404, 6.7404 and 6.7404 Å and the angles 90.00°, 90.00° and 90.00°. Symmetry generates all atoms from Li at (0.1239, 0.1239, 0.1239), Si at (0.2500, 0.2500, 0.7500) and W at (0.0000, 0.0000, 0.5000).


Entry 9:
Density functional theory data (PBE-GGA) for crystalline Li2SiW at its relaxed geometry.

As for the total magnetization: 0.003 μB per cell. The value obtained for the total energy is -0.38925 Ry per atom.

The structure belongs to space group I-4m2 (No. 119); the cell edges are 4.0013, 4.0013 and 6.6689 Å and the angles 90.00°, 90.00° and 90.00°. Symmetry generates all atoms from Li at (0.0000, 0.0000, 0.0000), Li at (0.0000, 0.5000, 0.2500), Si at (0.0000, 0.5000, 0.7500) and W at (0.0000, 0.0000, 0.5000).


Entry 10:
Density functional theory data (PBE-GGA) for crystalline LiSi2W2 at its relaxed geometry.

The calculation puts the excess energy over the best structure of this formula in the dataset at 0.0 meV/atom. As for the total magnetization: 0.000 μB per cell. The value obtained for the total energy is -0.57549 Ry per atom.

The structure belongs to space group P4/mbm (No. 127); the cell edges are 6.4908, 6.4908 and 3.3482 Å and the angles 90.00°, 90.00° and 90.00°. Symmetry generates all atoms from Li at (0.0000, 0.0000, 0.0000), Si at (0.1331, 0.3669, 0.0000) and W at (0.1661, 0.6661, 0.5000).


Entry 11:
Density functional theory data (PBE-GGA) for crystalline LiSiW at its relaxed geometry.

The calculation puts the excess energy over the best structure of this formula in the dataset at 365.9 meV/atom. As for the total magnetization: 4.072 μB per cell. The value obtained for the total energy is -0.46228 Ry per atom.

The structure belongs to space group F-43m (No. 216); the cell edges are 5.7751, 5.7751 and 5.7751 Å and the angles 90.00°, 90.00° and 90.00°. Symmetry generates all atoms from Li at (0.0000, 0.0000, 0.0000), Si at (0.2500, 0.2500, 0.2500) and W at (0.0000, 0.0000, 0.5000).


Entry 12:
Density functional theory data (PBE-GGA) for crystalline Li2SiW at its relaxed geometry.

As for the total magnetization: 0.000 μB per cell. The value obtained for the total energy is -0.40256 Ry per atom.

The structure belongs to space group Cmm2 (No. 35); the cell edges are 3.2604, 4.3678 and 8.8198 Å and the angles 90.00°, 90.00° and 90.00°. Symmetry generates all atoms from Li at (0.0000, 0.0000, 0.0000), Li at (0.0000, 0.5000, 0.2949), Si at (0.0000, 0.5000, 0.7713) and W at (0.0000, 0.0000, 0.5487).


Entry 13:
Density functional theory data (PBE-GGA) for crystalline Li2SiW at its relaxed geometry.

As for the total magnetization: 0.001 μB per cell. The value obtained for the total energy is -0.40473 Ry per atom.

The structure belongs to space group C2/m (No. 12); the cell edges are 10.6378, 2.6933 and 4.3944 Å and the angles 90.00°, 114.27° and 90.00°. Symmetry generates all atoms from Li at (0.2345, 0.0000, 0.2348), Si at (0.0000, 0.5000, 0.0000) and W at (0.0000, 0.0000, 0.5000).


Entry 14:
Density functional theory data (PBE-GGA) for crystalline Li2SiW at its relaxed geometry.

As for the total magnetization: 0.000 μB per cell. The value obtained for the total energy is -0.40059 Ry per atom.

The structure belongs to space group P2/m (No. 10); the cell edges are 2.6757, 4.8227 and 4.4736 Å and the angles 90.00°, 93.12° and 90.00°. Symmetry generates all atoms from Li at (0.1821, 0.0000, 0.2394), Si at (0.0000, 0.5000, 0.5000) and W at (0.5000, 0.5000, 0.0000).